No. 1
VASP calculation (GGA-PBE) on an optimized crystal structure of AlAuS2.

The structure in extended XYZ format:
```
8
Lattice="-2.0916 -2.8797 5.7625 -0.6890 -3.2867 -5.3967 5.9938 0.2245 -0.9048" Properties=species:S:1:pos:R:3 pbc="T T T"
S 1.5929 -4.5270 1.8043
S -1.1468 -3.4127 4.2702
S 0.8887 -4.4380 -2.8535
S 4.3174 -2.2653 0.0776
Al 3.0836 -2.7826 1.9473
Al 0.0869 -2.8957 2.4002
Au 1.2404 -4.4823 -0.5247
Au -1.7565 -4.5943 -0.0724
```

Summary:
**Symmetry**: Ibam
**Total energy**: -4.530 eV/atom
**Energy relative to the elements, uncorrected**: -68.7 kJ per mole of atoms

No. 2
VASP calculation (GGA-PBE) on an optimized crystal structure of PuUMoRu.

The structure in extended XYZ format:
```
4
Lattice="-3.7948 -0.4491 2.6469 -3.7430 -2.2019 -1.6581 -1.1795 -4.1693 1.6834" Properties=species:S:1:pos:R:3 pbc="T T T"
U -4.3586 -3.4101 1.3361
Pu -6.5380 -5.1152 2.0041
Ru 0.0000 0.0000 0.0000
Mo -2.1793 -1.7051 0.6680
```

Summary:
**Symmetry**: F-43m
**Total energy**: -11.376 eV/atom
**E_form**: 0.06 eV per atom

No. 3
VASP calculation (GGA-PBE) on an optimized crystal structure of Ce14TmPu.

The structure in extended XYZ format:
```
16
Lattice="-3.4038 -3.0491 -4.8753 4.6220 -4.8213 -0.2081 -4.8249 -4.9033 6.4351" Properties=species:S:1:pos:R:3 pbc="T T T"
Ce -0.8045 -6.6074 1.2567
Ce 0.0201 -8.2677 4.0248
Ce -0.6975 -1.7485 -1.8553
Ce -1.6170 -4.9456 -1.5109
Ce 2.4100 -5.8390 0.8374
Ce -2.5020 -8.1348 -1.1799
Ce -2.3036 -5.8453 4.1322
Ce -1.6911 -9.8025 1.5762
Ce -0.0891 -5.6791 -4.3941
Ce 0.0890 -3.4138 0.9412
Ce -3.1117 -4.1956 1.3645
Ce -4.8085 -5.7232 -1.0718
Ce -4.0136 -7.3811 1.6856
Ce 0.7015 -7.3710 -1.6148
Tm 1.6182 -4.1580 -1.9549
Pu -2.4040 -3.2698 -4.2939
```

Summary:
**Symmetry**: Amm2
**Total energy**: -6.333 eV/atom
**E_form**: 0.03 eV per atom

No. 4
VASP calculation (GGA-PBE) on an optimized crystal structure of Ba15Sr4Ac.

The structure in extended XYZ format:
```
20
Lattice="-0.7406 -1.1967 -6.0430 6.1153 0.5919 -0.8666 3.7778 -30.7819 5.6328" Properties=species:S:1:pos:R:3 pbc="T T T"
Ba 2.6873 -0.3024 -3.4548
Ba -0.0148 -3.4948 -2.4914
Ba 2.2884 -22.2617 0.9427
Ba 1.5186 -15.9893 -0.2051
Ba 4.9465 -15.0950 2.3831
Ba 5.7284 -25.0814 1.0795
Ba 4.1911 -12.5546 -1.2128
Ba 3.0521 -28.4838 2.0813
Ba 4.9615 -18.8321 -0.0641
Ba 5.7164 -21.3674 3.5309
Ba 3.4131 -2.6005 0.0967
Ba 4.1767 -8.8226 1.2353
Ba 3.4241 -6.3053 -2.3563
Ba 6.4800 -27.5895 4.6694
Ba 0.7488 -9.7169 -1.3529
Sr 2.2737 -18.5259 3.3901
Sr 0.7355 -5.9932 1.0967
Sr 3.0423 -24.7887 4.5361
Sr 1.5042 -12.2560 2.2427
Ac 0.0000 0.0000 0.0000
```

Summary:
**Symmetry**: P4/mmm
**Total energy**: -1.948 eV/atom
**E_form**: 0.04 eV per atom

No. 5
VASP calculation (GGA-PBE) on an optimized crystal structure of Pa2Te3.

The structure in extended XYZ format:
```
20
Lattice="4.2422 0.0000 0.0000 0.0000 8.2534 0.0000 0.0000 0.0000 17.0635" Properties=species:S:1:pos:R:3 pbc="T T T"
Pa 3.1817 3.3372 5.0519
Pa 1.0606 2.2394 0.7019
Pa 3.1817 1.8873 9.2336
Pa 3.1817 7.4639 3.4799
Pa 1.0606 4.9161 12.0116
Pa 3.1817 6.0140 16.3617
Pa 1.0606 0.7894 13.5836
Pa 1.0606 6.3661 7.8299
Te 3.1817 0.0935 6.6359
Te 3.1817 6.7664 13.2972
Te 1.0606 4.0332 15.1677
Te 3.1817 5.0539 9.7071
Te 1.0606 8.1599 10.4276
Te 3.1817 2.6397 12.2981
Te 1.0606 7.3262 1.1754
Te 1.0606 1.4870 3.7663
Te 1.0606 5.6137 4.7654
Te 1.0606 3.1995 7.3564
Te 3.1817 0.9272 15.8882
Te 3.1817 4.2202 1.8958
```

Summary:
**Symmetry**: Pnma
**Total energy**: -6.451 eV/atom
**Energy relative to the elements, uncorrected**: -74.1 kJ per mole of atoms

No. 6
VASP calculation (GGA-PBE) on an optimized crystal structure of CrSb4Au2.

The structure in extended XYZ format:
```
7
Lattice="5.2920 0.0000 0.0000 0.0000 5.2920 0.0000 2.6460 2.6460 6.6426" Properties=species:S:1:pos:R:3 pbc="T T T"
Cr 0.0000 0.0000 0.0000
Sb 2.6460 2.6460 4.0119
Sb 2.6460 0.0000 0.0000
Sb 0.0000 2.6460 0.0000
Sb 5.2920 5.2920 2.6306
Au 2.6460 2.6460 1.3988
Au 5.2920 5.2920 5.2438
```

Summary:
**Symmetry**: I4/mmm
**Total energy**: -4.291 eV/atom
**Energy relative to the elements, uncorrected**: 36.3 kJ per mole of atoms

No. 7
VASP calculation (GGA-PBE) on an optimized crystal structure of Ca2Al3HgAu12.

The structure in extended XYZ format:
```
18
Lattice="-2.1045 -5.8017 5.1803 5.7692 -5.4475 1.4018 3.4532 0.6177 7.2538" Properties=species:S:1:pos:R:3 pbc="T T T"
Au 2.7527 -7.1732 5.0636
Au 3.4125 -6.5658 11.1806
Au 1.4190 -6.8614 7.6730
Au 5.6989 -3.7701 6.1628
Au 2.6321 -1.2548 5.3673
Au 5.5930 -6.6736 5.6699
Au 1.5249 -3.9579 8.1659
Au 4.3653 -3.4583 8.7722
Au 3.7055 -4.0657 2.6552
Au 7.0615 -6.4016 9.4295
Au 4.4858 -9.3767 8.4686
Au 0.0565 -4.2298 4.4063
Al -1.0522 -2.9009 2.5901
Al 2.8846 -2.7237 0.7009
Al 1.7266 0.3089 3.6269
Ca 4.2834 -6.3978 8.3261
Ca 2.8345 -4.2337 5.5097
Hg 0.0000 0.0000 0.0000
```

Summary:
**Symmetry**: R-3m
**Total energy**: -3.189 eV/atom
**E_form**: -0.14 eV per atom

No. 8
VASP calculation (GGA-PBE) on an optimized crystal structure of LiTc2NiN.

The structure in extended XYZ format:
```
5
Lattice="-4.4124 -1.6025 -1.3752 1.4362 -2.1104 -2.1491 0.1623 -3.4336 3.4803" Properties=species:S:1:pos:R:3 pbc="T T T"
N 0.7181 -1.0552 -1.0745
Tc 0.0812 -1.7168 1.7401
Tc -2.2062 -0.8012 -0.6876
Ni 0.0000 0.0000 0.0000
Li -1.4069 -3.5732 -0.0220
```

Summary:
**Symmetry**: P4/mmm
**Total energy**: -5.932 eV/atom
**Energy relative to the elements, uncorrected**: 136.9 kJ per mole of atoms

No. 9
VASP calculation (GGA-PBE) on an optimized crystal structure of Tm5ZrTl4.

The structure in extended XYZ format:
```
10
Lattice="3.5382 0.0000 0.0000 0.0000 3.5382 0.0000 0.0000 0.0000 21.1530" Properties=species:S:1:pos:R:3 pbc="T T T"
Tl 0.0000 0.0000 16.8681
Tl 0.0000 0.0000 12.6795
Tl 0.0000 0.0000 8.4735
Tl 0.0000 0.0000 4.2849
Tm 1.7691 1.7691 18.9894
Tm 1.7691 1.7691 6.3554
Tm 1.7691 1.7691 10.5765
Tm 1.7691 1.7691 2.1635
Tm 1.7691 1.7691 14.7975
Zr 0.0000 0.0000 0.0000
```

Summary:
**Symmetry**: P4/mmm
**Total energy**: -4.275 eV/atom
**E_form**: -0.24 eV per atom

No. 10
VASP calculation (GGA-PBE) on an optimized crystal structure of Co2AgAs.

The structure in extended XYZ format:
```
4
Lattice="-1.9806 -0.7486 1.7805 -2.1035 -0.5504 -2.5712 1.9696 -5.9920 -0.3285" Properties=species:S:1:pos:R:3 pbc="T T T"
Co 0.0449 -0.1366 -0.0075
Co -1.6537 -1.8310 -0.4601
Ag 0.9176 -2.7914 -0.1530
As -0.4384 -5.5280 -0.6628
```

Summary:
**Symmetry**: Pmm2
**Total energy**: -5.216 eV/atom
**E_form**: 0.21 eV per atom

No. 11
VASP calculation (GGA-PBE) on an optimized crystal structure of Li5AlPb4.

The structure in extended XYZ format:
```
10
Lattice="-0.9798 -0.5780 3.2746 0.1071 -3.4175 -0.5712 16.9213 -0.3067 5.0088" Properties=species:S:1:pos:R:3 pbc="T T T"
Li 0.9638 -2.0231 1.7662
Li 15.0848 -2.2791 5.9461
Li 11.5935 -2.2158 4.9126
Li 4.4551 -2.0864 2.7996
Li 8.0243 -2.1511 3.8561
Pb 13.8365 -0.2508 4.0957
Pb 10.2327 -0.1855 3.0289
Pb 3.0848 -0.0559 0.9131
Pb 6.6886 -0.1212 1.9799
Al 0.0000 0.0000 0.0000
```

Summary:
**Symmetry**: P4/mmm
**Total energy**: -3.028 eV/atom
**E_form**: -0.21 eV per atom

No. 12
VASP calculation (GGA-PBE) on an optimized crystal structure of Ac2Ge4Ir3Pd.

The structure in extended XYZ format:
```
10
Lattice="-2.8816 3.3695 0.2154 -2.2333 -2.1145 3.2008 5.8216 4.5278 7.0531" Properties=species:S:1:pos:R:3 pbc="T T T"
Ge 1.0461 0.6248 4.2207
Ge 2.2181 4.5304 4.5405
Ge 0.0000 0.0000 0.0000
Ge -2.5574 0.6275 1.7081
Ac 3.2846 2.3658 6.9326
Ac -0.0204 2.7895 1.8286
Ir -0.3938 -0.4951 2.4761
Ir 3.6580 5.6503 6.2851
Ir 2.9108 2.2639 3.5266
Pd 0.3534 2.8914 5.2346
```

Summary:
**Symmetry**: P-4m2
**Total energy**: -6.597 eV/atom
**E_form**: -0.75 eV per atom

No. 13
VASP calculation (GGA-PBE) on an optimized crystal structure of CrCoAsSe2.

The structure in extended XYZ format:
```
5
Lattice="-3.0779 -2.4635 -2.4592 -0.2923 -3.0585 3.4297 -3.4683 2.4486 1.8880" Properties=species:S:1:pos:R:3 pbc="T T T"
As -0.1462 -1.5293 1.7149
Se -1.5389 -1.2317 -1.2296
Se -1.7341 1.2243 0.9440
Co -3.4193 -1.5367 1.4293
Cr 0.0000 0.0000 0.0000
```

Summary:
**Symmetry**: P4/mmm
**Total energy**: -4.894 eV/atom
**Energy relative to the elements, uncorrected**: 74.8 kJ per mole of atoms

No. 14
VASP calculation (GGA-PBE) on an optimized crystal structure of TlCd2RhO6.

The structure in extended XYZ format:
```
10
Lattice="5.6877 -0.0003 0.0004 2.8436 4.9255 0.0001 2.8438 1.6420 4.8043" Properties=species:S:1:pos:R:3 pbc="T T T"
Cd 2.8436 1.6418 4.3914
Cd 5.6876 3.2837 1.8553
O 4.6576 5.2031 1.2045
O 7.8649 3.2153 1.2047
O 4.1298 3.3295 3.7247
O 6.5062 4.6100 3.7247
O 6.4269 1.9117 3.7246
O 4.5397 1.4321 1.2045
Tl 8.5315 4.9253 2.8448
Rh 2.8437 1.6418 0.2178
```

Summary:
**Symmetry**: R3
**Total energy**: -4.847 eV/atom
**Energy relative to the elements, uncorrected**: -69.2 kJ per mole of atoms

No. 15
VASP calculation (GGA-PBE) on an optimized crystal structure of CaAsPdSe2.

The structure in extended XYZ format:
```
5
Lattice="5.2415 0.0000 0.0000 0.0000 5.2415 0.0000 0.0000 0.0000 4.6078" Properties=species:S:1:pos:R:3 pbc="T T T"
Se 2.6207 0.0000 0.0000
Se 0.0000 2.6207 0.0000
Pd 0.0000 0.0000 0.0000
As 0.0000 0.0000 2.3039
Ca 2.6207 2.6207 2.3039
```

Summary:
**Symmetry**: P4/mmm
**Total energy**: -4.157 eV/atom
**Energy relative to the elements, uncorrected**: -38.1 kJ per mole of atoms

No. 16
VASP calculation (GGA-PBE) on an optimized crystal structure of Fe6Ni8Rh.

The structure in extended XYZ format:
```
15
Lattice="-5.9564 0.0926 0.4749 -3.2602 -4.3750 -2.4378 -2.6932 -4.7153 4.7395" Properties=species:S:1:pos:R:3 pbc="T T T"
Ni -6.6824 -6.0269 -0.1290
Ni -7.4506 -2.8535 1.8594
Ni -5.2274 -2.9709 2.9057
Ni -3.0354 -1.7470 -0.1301
Ni -4.4592 -6.1444 0.9172
Ni -8.0805 -5.2278 1.7304
Ni -8.8744 -7.2508 2.9067
Ni -3.8293 -3.7700 1.0462
Fe -6.7908 -4.4942 3.6749
Fe -6.3989 -6.7148 2.2937
Fe -7.5755 -3.7543 -0.2689
Fe -5.5109 -2.2830 0.4829
Fe -5.1190 -4.5036 -0.8983
Fe -4.3343 -5.2436 3.0455
Rh 0.0000 0.0000 0.0000
```

Summary:
**Symmetry**: R-3
**Total energy**: -6.605 eV/atom
**E_form**: 0.35 eV per atom

No. 17
VASP calculation (GGA-PBE) on an optimized crystal structure of MnTcOs2.

The structure in extended XYZ format:
```
4
Lattice="-1.2044 2.3583 -0.5274 -1.7914 -0.4758 1.9634 4.5183 3.4145 4.9499" Properties=species:S:1:pos:R:3 pbc="T T T"
Os -0.3735 1.7910 1.9498
Os 4.4663 3.3752 4.8930
Mn 1.9088 3.5158 4.4502
Tc 2.2983 1.7369 2.5179
```

Summary:
**Symmetry**: P4mm
**Total energy**: -10.391 eV/atom
**E_form**: 0.11 eV per atom

No. 18
VASP calculation (GGA-PBE) on an optimized crystal structure of Ca2Si3Pd9.

The structure in extended XYZ format:
```
28
Lattice="7.0365 -0.0619 -2.9542 -4.1593 6.3986 0.0127 0.1153 0.1303 10.0969" Properties=species:S:1:pos:R:3 pbc="T T T"
Ca 1.4391 1.6359 6.5934
Ca 4.6364 3.7803 4.6371
Ca 1.5532 4.8312 0.5620
Ca -1.6440 2.6868 2.5184
Si 1.4962 3.2335 3.5777
Si -2.2729 5.3728 4.5855
Si 5.2653 1.0943 2.5700
Si -0.1101 2.2947 9.6015
Si 3.5182 -0.0310 -1.4771
Si 3.1025 4.1724 -2.4460
Pd -1.3208 4.3572 0.0977
Pd 0.5529 4.1085 8.0500
Pd 5.7567 0.9167 4.9553
Pd 1.0980 1.9144 1.5293
Pd 4.3132 2.1099 7.0578
Pd -2.9507 6.4549 9.2663
Pd 5.9431 0.0121 -2.1108
Pd 0.2314 0.9613 4.0037
Pd -0.6233 3.3309 5.2243
Pd -0.0100 5.2138 3.2722
Pd 3.6157 3.1362 1.9311
Pd -0.5733 5.9513 6.2256
Pd 2.7610 5.5057 3.1518
Pd 3.0024 1.2532 3.8833
Pd 2.4395 2.3586 -0.8945
Pd 3.5657 0.5157 0.9298
Pd -2.7643 5.5503 2.2002
Pd 1.8944 4.5526 5.6261
```

Summary:
**Symmetry**: C2/c
**Total energy**: -5.515 eV/atom
**Energy relative to the elements, uncorrected**: -70.3 kJ per mole of atoms

No. 19
VASP calculation (GGA-PBE) on an optimized crystal structure of RbPd2Br8.

The structure in extended XYZ format:
```
11
Lattice="6.4811 0.0000 0.0000 0.0000 6.4811 0.0000 0.0000 0.0000 8.7049" Properties=species:S:1:pos:R:3 pbc="T T T"
Br 4.8838 4.8838 7.0553
Br 1.5973 4.8838 7.0553
Br 4.8838 4.8838 1.6496
Br 1.5973 4.8838 1.6496
Br 1.5973 1.5973 1.6496
Br 1.5973 1.5973 7.0553
Br 4.8838 1.5973 1.6496
Br 4.8838 1.5973 7.0553
Pd 3.2406 0.0000 0.0000
Pd 0.0000 3.2406 0.0000
Rb 3.2406 3.2406 4.3524
```

Summary:
**Symmetry**: P4/mmm
**Total energy**: -2.369 eV/atom
**Energy relative to the elements, uncorrected**: -11.6 kJ per mole of atoms

No. 20
VASP calculation (GGA-PBE) on an optimized crystal structure of In3Sn2Bi4.

The structure in extended XYZ format:
```
18
Lattice="-2.8881 -3.1374 -6.2497 -8.3875 2.1981 3.5871 -4.2741 8.2440 -1.3493" Properties=species:S:1:pos:R:3 pbc="T T T"
In -3.2428 -0.4461 -1.1600
In -12.3068 7.7507 -2.8519
In -6.9129 4.6418 -0.6112
In -3.5972 -0.4131 -5.5925
In -8.6368 2.6628 -3.4007
In -11.9525 7.7177 1.5806
Sn -2.3876 2.5143 -2.0074
Sn -13.1621 4.7903 -2.0046
Sn -10.1023 8.7343 -0.8189
Sn -5.4474 -1.4297 -3.1931
Bi -6.1344 5.1058 -3.8940
Bi -4.2542 3.2500 0.8452
Bi -11.2954 4.0546 -4.8571
Bi -7.3173 2.8135 2.3835
Bi -8.2324 4.4911 -6.3954
Bi -10.0649 5.3092 -1.4751
Bi -5.4848 1.9954 -2.5368
Bi -9.4153 2.1988 -0.1180
```

Summary:
**Symmetry**: C2/c
**Total energy**: -3.465 eV/atom
**E_form**: 0.06 eV per atom